Material: Ac3PmCo
Method: DFT, PBE
State: relaxed

a = 5.695 Å, b = 5.695 Å, c = 5.695 Å
α = 90.00°, β = 90.00°, γ = 90.00°
Positions (direct):
Co (0.000, 0.000, 0.000)
Ac (0.000, 0.000, 0.500)
Ac (0.000, 0.500, 0.000)
Ac (0.500, 0.000, 0.000)
Pm (0.500, 0.500, 0.500)

Values from the calculation:
* relative energy among the computed polymorphs: 105 meV/atom
* crystal system: cubic
* ΔE_f: 0.076 eV/atom
* magnetization: 0.000 μB/atom
* space group: Pm-3m (221)